(1)
A plane-wave DFT calculation with PBE was carried out for a relaxed DyHo2 crystal.

abc: 6.5089 6.5089 6.5089
angles: 60.00 60.00 60.00
Atoms (fractional coordinates):
Ho 0.6250 0.6250 0.6250
Ho 0.6250 0.1250 0.6250
Ho 0.1250 0.6250 0.6250
Ho 0.6250 0.6250 0.1250
Dy 0.0000 0.0000 0.0000
Dy 0.2500 0.2500 0.2500

Values from the calculation:
ΔE_f: 0.272 eV/atom
Offset from the most stable computed form: 274 meV per atom

=====

(2)
A plane-wave DFT calculation with PBE was carried out for a relaxed YBeFe crystal.

abc: 4.3480 4.3480 4.3480
angles: 60.00 60.00 60.00
Atoms (fractional coordinates):
Y 0.0000 0.0000 0.0000
Be 0.2500 0.2500 0.2500
Fe 0.7500 0.7500 0.7500

Values from the calculation:
E_tot: -4.9508 eV/atom

=====

(3)
A plane-wave DFT calculation with PBE was carried out for a relaxed NdBeSn crystal.

abc: 4.8077 4.8077 4.8077
angles: 60.00 60.00 60.00
Atoms (fractional coordinates):
Sn 0.7500 0.7500 0.7500
Be 0.0000 0.0000 0.0000
Nd 0.5000 0.5000 0.5000

Values from the calculation:
E_tot: -4.0182 eV/atom

=====

| no. | total magnetization (μB/cell) | ρ (g/cm3) |
| --- | --- | --- |
| 1 | 0.57 | 8.386 |
| 2 | 1.72 | 4.393 |
| 3 | 0.00 | 5.747 |